A plane-wave DFT calculation with PBE-GGA was carried out for an optimized crystal structure of Sm3Ga2Co2.

Cell lengths 4.318, 4.098, 9.183 Å; angles 102.89, 103.60, 90.00 degrees
Each line ends with the local moment (μB).
Positions (direct):
1 Sm 0.000 0.000 0.000  -0.04
2 Sm 0.677 0.177 0.354  -0.04
3 Sm 0.323 0.823 0.646  -0.04
4 Ga 0.135 0.635 0.269  -0.01
5 Ga 0.865 0.365 0.731  -0.01
6 Co 0.564 0.564 0.128  0.50
7 Co 0.436 0.436 0.872  0.50

Values from the calculation:
Energy relative to the elements   -9.14 kcal/mol of atoms
E   -37.2 eV per cell
Fermi-level density of states   5.395 states/eV per cell